No. 1
DFT (PBE) results for a relaxed structure of Zn4Cu2Ni.

Summary:
The value obtained for the magnetic moment is 0.00 μB/cell. As for the density of states at the Fermi level: 1.96 states/eV/f.u. The space group is Cmmm (65). Its energy of formation from the pure elements is 1.9 eV/f.u. The calculated volume comes out at 104.3 Å³ per cell. The total energy comes out at -2.4552 eV per atom.

a = 4.618 Å, b = 4.705 Å, c = 5.344 Å
α = 116.12°, β = 90.00°, γ = 90.00°
Atoms (fractional coordinates):
Zn  0.500  0.629  0.259
Zn  0.000  0.827  0.654
Zn  0.500  0.371  0.741
Zn  0.000  0.173  0.346
Cu  0.500  0.119  0.237
Cu  0.500  0.881  0.763
Ni  0.000  0.500  0.000


No. 2
DFT (PBE) results for a relaxed structure of Zn2Cu7Ni2.

Summary:
The value obtained for the magnetic moment is 0.00 μB/cell. As for the density of states at the Fermi level: 5.32 states/eV/f.u. The space group is Imm2 (44). Its energy of formation from the pure elements is 0.5 eV/f.u. The calculated volume comes out at 138.5 Å³ per cell. The value obtained for the energy relative to the lowest polymorph listed for this composition is 0.000 kcal/mol of atoms. The total energy comes out at -3.8462 eV per atom.

a = 4.069 Å, b = 6.362 Å, c = 6.362 Å
α = 65.41°, β = 71.35°, γ = 71.35°
Atoms (fractional coordinates):
Zn  0.744  0.833  0.679
Zn  0.256  0.321  0.167
Cu  0.863  0.040  0.234
Cu  0.876  0.382  0.865
Cu  0.500  0.026  0.974
Cu  0.627  0.566  0.180
Cu  0.373  0.820  0.434
Cu  0.137  0.766  0.960
Cu  0.124  0.135  0.618
Ni  0.000  0.582  0.418
Ni  0.500  0.382  0.618


What is the energy of formation from the pure elements in the second record?
0.5 eV/f.u.